(1)
Below is a relaxed VAgS2Cl crystal, with properties calculated at the PBE-GGA level.

Lattice parameters (Å, degrees): 4.561 4.561 4.989 90.00 90.00 90.00
Space group P4/mmm (No. 123)
One atom of each set of equivalent atoms:
V 0.000 0.000 0.000 [1 per cell]
Ag 0.500 0.500 0.500 [1 per cell]
S 0.000 0.500 0.000 [2 per cell]
Cl 0.000 0.000 0.500 [1 per cell]

Results
- raw total energy (eV for the cell shown) = -23.25
- E_form (uncorrected) (eV per atom) = -0.237
- crystal system = tetragonal

***

(2)
Below is a relaxed Nd5Ho4Tm2 crystal, with properties calculated at the PBE-GGA level.

Lattice parameters (Å, degrees): 3.520 9.115 23.563 90.00 90.00 90.00
Space group Immm (No. 71)
One atom of each set of equivalent atoms:
Nd 0.000 0.000 0.000 [2 per cell]
Nd 0.000 0.299 0.353 [8 per cell]
Ho 0.000 0.187 0.500 [4 per cell]
Ho 0.000 0.500 0.097 [4 per cell]
Tm 0.000 0.500 0.230 [4 per cell]

Results
- raw total energy (eV for the cell shown) = -97.65
- ΔH_f (0 K) (eV/atom) = 0.206
- crystal system = orthorhombic

***

(3)
Below is a relaxed Li2CuCSO7 crystal, with properties calculated at the PBE-GGA level.

Lattice parameters (Å, degrees): 5.126 6.374 8.645 90.00 93.82 90.00
Space group P2_1/m (No. 11)
One atom of each set of equivalent atoms:
Li 0.194 0.022 0.296 [4 per cell]
Cu 0.251 0.750 0.855 [2 per cell]
C 0.295 0.750 0.557 [2 per cell]
S 0.278 0.250 0.926 [2 per cell]
O 0.087 0.750 0.641 [2 per cell]
O 0.177 0.064 0.837 [4 per cell]
O 0.192 0.250 0.087 [2 per cell]
O 0.261 0.750 0.410 [2 per cell]
O 0.427 0.750 0.065 [2 per cell]
O 0.481 0.250 0.367 [2 per cell]

Results
- raw total energy (eV for the cell shown) = -147.10
- E_form (uncorrected) (eV per atom) = -1.464
- crystal system = monoclinic

***

(4)
Below is a relaxed Ce4Te2IrS crystal, with properties calculated at the PBE-GGA level.

Lattice parameters (Å, degrees): 7.364 4.166 7.647 90.00 108.40 90.00
Space group P2/m (No. 10)
One atom of each set of equivalent atoms:
Ce 0.230 0.000 0.209 [2 per cell]
Ce 0.259 0.500 0.785 [2 per cell]
Te 0.000 0.000 0.500 [1 per cell]
Te 0.500 0.500 0.500 [1 per cell]
Ir 0.000 0.500 0.000 [1 per cell]
S 0.500 0.000 0.000 [1 per cell]

Results
- raw total energy (eV for the cell shown) = -53.81
- E_form (uncorrected) (eV per atom) = -1.351
- crystal system = monoclinic

***

(5)
Below is a relaxed La2SiH crystal, with properties calculated at the PBE-GGA level.

Lattice parameters (Å, degrees): 4.2796 4.2796 18.3459 90.00 90.00 120.00
Space group R-3m (No. 166, hexagonal axes)
One atom of each set of equivalent atoms:
La 0.0000 0.0000 0.2433 [6 per cell]
Si 0.0000 0.0000 0.0000 [3 per cell]
H 0.0000 0.0000 0.5000 [3 per cell]

Results
- raw total energy (eV for the cell shown) = -61.77
- crystal system = trigonal

***

(6)
Below is a relaxed Ac3PtN crystal, with properties calculated at the PBE-GGA level.

Lattice parameters (Å, degrees): 4.269 8.652 8.668 74.94 89.45 89.46
Space group P-1 (No. 2)
One atom of each set of equivalent atoms:
Ac 0.227 0.063 0.190 [2 per cell]
Ac 0.227 0.690 0.564 [2 per cell]
Ac 0.230 0.614 0.115 [2 per cell]
Pt 0.239 0.215 0.714 [2 per cell]
N 0.001 0.663 0.837 [2 per cell]

Results
- raw total energy (eV for the cell shown) = -61.50
- E_form (uncorrected) (eV per atom) = -0.812
- crystal system = triclinic

***

(7)
Below is a relaxed KSmCd2 crystal, with properties calculated at the PBE-GGA level.

Lattice parameters (Å, degrees): 3.859 3.859 8.627 90.00 90.00 90.00
Space group P4/mmm (No. 123)
One atom of each set of equivalent atoms:
K 0.000 0.000 0.000 [1 per cell]
Sm 0.000 0.000 0.500 [1 per cell]
Cd 0.500 0.500 0.292 [2 per cell]

Results
- raw total energy (eV for the cell shown) = -8.13
- ΔH_f (0 K) (eV/atom) = -0.120
- crystal system = tetragonal

***

(8)
Below is a relaxed Ce2HoPuAs4 crystal, with properties calculated at the PBE-GGA level.

Lattice parameters (Å, degrees): 7.202 4.176 7.229 90.00 109.58 90.00
Space group P2/m (No. 10)
One atom of each set of equivalent atoms:
Ce 0.000 0.000 0.000 [1 per cell]
Ce 0.000 0.500 0.500 [1 per cell]
Ho 0.500 0.000 0.500 [1 per cell]
Pu 0.500 0.500 0.000 [1 per cell]
As 0.254 0.500 0.253 [2 per cell]
As 0.255 0.000 0.751 [2 per cell]

Results
- raw total energy (eV for the cell shown) = -60.19
- ΔH_f (0 K) (eV/atom) = -1.352
- crystal system = monoclinic

***

(9)
Below is a relaxed CeNi4H6Au crystal, with properties calculated at the PBE-GGA level.

Lattice parameters (Å, degrees): 4.3896 4.3896 6.5396 90.00 90.00 120.00
Space group P6/mmm (No. 191)
One atom of each set of equivalent atoms:
Ce 0.0000 0.0000 0.0000 [1 per cell]
Ni 0.3333 0.6667 0.3131 [4 per cell]
H 0.0000 0.5000 0.1619 [6 per cell]
Au 0.0000 0.0000 0.5000 [1 per cell]

Results
- raw total energy (eV for the cell shown) = -55.65
- crystal system = hexagonal

***

(10)
Below is a relaxed Ce2Fe3Ge5 crystal, with properties calculated at the PBE-GGA level.

Lattice parameters (Å, degrees): 4.154 23.968 6.717 90.00 90.00 90.00
Space group Cmc2_1 (No. 36)
One atom of each set of equivalent atoms:
Ce 0.000 0.033 0.000 [4 per cell]
Ce 0.000 0.329 0.074 [4 per cell]
Fe 0.000 0.100 0.784 [4 per cell]
Fe 0.000 0.274 0.590 [4 per cell]
Fe 0.000 0.447 0.799 [4 per cell]
Ge 0.000 0.094 0.401 [4 per cell]
Ge 0.000 0.205 0.881 [4 per cell]
Ge 0.000 0.212 0.290 [4 per cell]
Ge 0.000 0.373 0.552 [4 per cell]
Ge 0.000 0.455 0.168 [4 per cell]

Results
- raw total energy (eV for the cell shown) = -256.60
- ΔH_f (0 K) (eV/atom) = -0.381
- crystal system = orthorhombic

***

(11)
Below is a relaxed SrPtCl6 crystal, with properties calculated at the PBE-GGA level.

Lattice parameters (Å, degrees): 6.4822 6.4822 17.9648 90.00 90.00 120.00
Space group R-3 (No. 148, hexagonal axes)
One atom of each set of equivalent atoms:
Sr 0.0000 0.0000 0.0000 [3 per cell]
Pt 0.0000 0.0000 0.5000 [3 per cell]
Cl 0.0178 0.6239 0.0914 [18 per cell]

Results
- raw total energy (eV for the cell shown) = -84.16
- E_form (uncorrected) (eV per atom) = -1.156
- crystal system = trigonal

***

(12)
Below is a relaxed HfCd2In crystal, with properties calculated at the PBE-GGA level.

Lattice parameters (Å, degrees): 3.1981 3.1981 30.8723 90.00 90.00 120.00
Space group R3m (No. 160, hexagonal axes)
One atom of each set of equivalent atoms:
Hf 0.0000 0.0000 0.0000 [3 per cell]
Cd 0.0000 0.0000 0.5844 [3 per cell]
Cd 0.0000 0.0000 0.7483 [3 per cell]
In 0.0000 0.0000 0.1664 [3 per cell]

Results
- raw total energy (eV for the cell shown) = -42.99
- ΔH_f (0 K) (eV/atom) = 0.048
- crystal system = trigonal

***

(13)
Below is a relaxed Li2CrIn crystal, with properties calculated at the PBE-GGA level.

Lattice parameters (Å, degrees): 3.374 3.374 6.310 90.00 90.00 90.00
Space group P4/mmm (No. 123)
One atom of each set of equivalent atoms:
Li 0.000 0.000 0.243 [2 per cell]
Cr 0.500 0.500 0.000 [1 per cell]
In 0.500 0.500 0.500 [1 per cell]

Results
- raw total energy (eV for the cell shown) = -15.28
- ΔH_f (0 K) (eV/atom) = 0.228
- crystal system = tetragonal

***

(14)
Below is a relaxed HfMn crystal, with properties calculated at the PBE-GGA level.

Lattice parameters (Å, degrees): 7.396 7.396 7.396 90.00 90.00 90.00
Space group I-43m (No. 217)
One atom of each set of equivalent atoms:
Hf 0.213 0.213 0.787 [8 per cell]
Mn 0.114 0.114 0.114 [8 per cell]

Results
- raw total energy (eV for the cell shown) = -131.67
- ΔH_f (0 K) (eV/atom) = 1.332
- crystal system = cubic

***

(15)
Below is a relaxed Cs5AgHg6 crystal, with properties calculated at the PBE-GGA level.

Lattice parameters (Å, degrees): 9.601 19.086 7.009 90.00 111.43 90.00
Space group C2/m (No. 12)
One atom of each set of equivalent atoms:
Cs 0.000 0.000 0.000 [2 per cell]
Cs 0.000 0.188 0.500 [4 per cell]
Cs 0.000 0.389 0.000 [4 per cell]
Ag 0.000 0.500 0.500 [2 per cell]
Hg 0.173 0.195 0.089 [8 per cell]
Hg 0.214 0.000 0.580 [4 per cell]

Results
- raw total energy (eV for the cell shown) = -21.58
- ΔH_f (0 K) (eV/atom) = -0.155
- crystal system = monoclinic

***

(16)
Below is a relaxed Rb2ErMg2Se4 crystal, with properties calculated at the PBE-GGA level.

Lattice parameters (Å, degrees): 15.997 4.263 8.289 90.00 107.50 90.00
Space group C2/m (No. 12)
One atom of each set of equivalent atoms:
Rb 0.126 0.000 0.041 [4 per cell]
Er 0.000 0.000 0.500 [2 per cell]
Mg 0.171 0.500 0.477 [4 per cell]
Se 0.017 0.500 0.272 [4 per cell]
Se 0.200 0.000 0.670 [4 per cell]

Results
- raw total energy (eV for the cell shown) = -70.29
- E_form (uncorrected) (eV per atom) = -1.280
- crystal system = monoclinic

***

(17)
Below is a relaxed LaGeBr2 crystal, with properties calculated at the PBE-GGA level.

Lattice parameters (Å, degrees): 4.846 4.846 20.289 90.00 90.00 90.00
Space group I-42d (No. 122)
One atom of each set of equivalent atoms:
La 0.000 0.000 0.000 [4 per cell]
Ge 0.000 0.000 0.500 [4 per cell]
Br 0.250 0.250 0.125 [8 per cell]

Results
- raw total energy (eV for the cell shown) = -64.65
- E_form (uncorrected) (eV per atom) = -0.818
- crystal system = tetragonal

***

(18)
Below is a relaxed HfZn7Au4 crystal, with properties calculated at the PBE-GGA level.

Lattice parameters (Å, degrees): 10.018 5.117 9.355 90.00 118.71 90.00
Space group C2/m (No. 12)
One atom of each set of equivalent atoms:
Hf 0.000 0.000 0.000 [2 per cell]
Zn 0.000 0.500 0.000 [2 per cell]
Zn 0.112 0.000 0.456 [4 per cell]
Zn 0.169 0.500 0.632 [4 per cell]
Zn 0.190 0.500 0.905 [4 per cell]
Au 0.098 0.500 0.322 [4 per cell]
Au 0.165 0.000 0.780 [4 per cell]

Results
- raw total energy (eV for the cell shown) = -64.01
- ΔH_f (0 K) (eV/atom) = -0.002
- crystal system = monoclinic

***

(19)
Below is a relaxed Sm2BRh4 crystal, with properties calculated at the PBE-GGA level.

Lattice parameters (Å, degrees): 4.236 4.236 14.058 90.00 90.00 90.00
Space group I4/mmm (No. 139)
One atom of each set of equivalent atoms:
Sm 0.000 0.000 0.152 [4 per cell]
B 0.000 0.000 0.500 [2 per cell]
Rh 0.000 0.000 0.355 [4 per cell]
Rh 0.000 0.500 0.000 [4 per cell]

Results
- raw total energy (eV for the cell shown) = -99.33
- ΔH_f (0 K) (eV/atom) = -0.592
- crystal system = tetragonal

***

(20)
Below is a relaxed BaCdGaBi3 crystal, with properties calculated at the PBE-GGA level.

Lattice parameters (Å, degrees): 7.050 18.641 6.981 90.00 90.00 90.00
Space group Cmcm (No. 63)
One atom of each set of equivalent atoms:
Ba 0.000 0.190 0.250 [4 per cell]
Cd 0.000 0.100 0.750 [4 per cell]
Ga 0.000 0.403 0.750 [4 per cell]
Bi 0.000 0.255 0.750 [4 per cell]
Bi 0.244 0.500 0.000 [8 per cell]

Results
- raw total energy (eV for the cell shown) = -74.88
- ΔH_f (0 K) (eV/atom) = -0.202
- crystal system = orthorhombic

***

(21)
Below is a relaxed Hf6CdFe2 crystal, with properties calculated at the PBE-GGA level.

Lattice parameters (Å, degrees): 8.426 8.705 9.637 90.00 90.00 90.00
Space group Immm (No. 71)
One atom of each set of equivalent atoms:
Hf 0.000 0.209 0.234 [8 per cell]
Hf 0.192 0.500 0.173 [8 per cell]
Hf 0.200 0.312 0.500 [8 per cell]
Cd 0.000 0.000 0.000 [2 per cell]
Cd 0.000 0.000 0.500 [2 per cell]
Fe 0.000 0.334 0.000 [4 per cell]
Fe 0.000 0.500 0.369 [4 per cell]

Results
- raw total energy (eV for the cell shown) = -314.03
- ΔH_f (0 K) (eV/atom) = -0.105
- crystal system = orthorhombic

***

(22)
Below is a relaxed Ca2HfScH crystal, with properties calculated at the PBE-GGA level.

Lattice parameters (Å, degrees): 6.092 6.092 4.987 90.00 90.00 90.00
Space group P4/mmm (No. 123)
One atom of each set of equivalent atoms:
Ca 0.000 0.500 0.000 [2 per cell]
Hf 0.000 0.000 0.500 [1 per cell]
Sc 0.000 0.000 0.000 [1 per cell]
H 0.500 0.500 0.500 [1 per cell]

Results
- raw total energy (eV for the cell shown) = -16.82
- crystal system = tetragonal

***

Let's list N(E_F) in order: 2.33 36.10 0.89 23.29 8.32 6.12 2.83 19.15 8.91 40.10 0.00 7.13 2.63 16.75 15.12 8.90 16.89 8.65 11.79 12.94 27.74 7.04 states/eV/cell.